No. 1
This record from Alexandria via LeMat-Bulk describes crystalline TaTe2NO at its relaxed geometry. The functional is PBEsol.

Output
SG	No. 123
crystal system	tetragonal
final energy	-5.668	eV/atom
formation energy without anion corrections	1.008	eV/atom
Fermi-level density of states	3.47	states/eV/f.u.

Cell: 4.646 4.646 3.684 Å, 90.00 90.00 90.00°
Element x y z (fractional)
Ta: 0.000 0.000 0.000
Te: 0.000 0.500 0.500
Te: 0.500 0.000 0.500
N: 0.500 0.500 0.000
O: 0.500 0.500 0.500

No. 2
This record from Alexandria via LeMat-Bulk describes crystalline TaTeNO2 at its relaxed geometry. The functional is PBEsol.

Output
SG	No. 123
crystal system	tetragonal
final energy	-8.023	eV/atom
formation energy without anion corrections	-1.003	eV/atom
Fermi-level density of states	2.08	states/eV/f.u.

Cell: 3.929 3.929 4.288 Å, 90.00 90.00 90.00°
Element x y z (fractional)
Ta: 0.000 0.000 0.000
Te: 0.500 0.500 0.500
N: 0.000 0.000 0.500
O: 0.000 0.500 0.000
O: 0.500 0.000 0.000

No. 3
This record from Alexandria via LeMat-Bulk describes crystalline Y2TaNO at its relaxed geometry. The functional is PBEsol.

Output
SG	No. 123
crystal system	tetragonal
final energy	-7.840	eV/atom
formation energy without anion corrections	0.154	eV/atom
Fermi-level density of states	4.36	states/eV/f.u.

Cell: 4.383 4.383 4.490 Å, 90.00 90.00 90.00°
Element x y z (fractional)
Y: 0.000 0.500 0.000
Y: 0.500 0.000 0.000
Ta: 0.000 0.000 0.500
N: 0.500 0.500 0.500
O: 0.500 0.500 0.000

No. 4
This record from Alexandria via LeMat-Bulk describes crystalline TiTcN2O at its relaxed geometry. The functional is PBEsol.

Output
SG	No. 123
crystal system	tetragonal
final energy	-8.661	eV/atom
formation energy without anion corrections	-0.283	eV/atom
Fermi-level density of states	3.36	states/eV/f.u.

Cell: 3.806 3.806 3.780 Å, 90.00 90.00 90.00°
Element x y z (fractional)
Ti: 0.000 0.000 0.000
Tc: 0.500 0.500 0.500
N: 0.000 0.500 0.500
N: 0.500 0.000 0.500
O: 0.500 0.500 0.000

No. 5
This record from Alexandria via LeMat-Bulk describes crystalline TiTcNO2 at its relaxed geometry. The functional is PBEsol.

Output
SG	No. 123
crystal system	tetragonal
final energy	-8.462	eV/atom
formation energy without anion corrections	-0.739	eV/atom
Fermi-level density of states	4.71	states/eV/f.u.

Cell: 3.798 3.798 3.824 Å, 90.00 90.00 90.00°
Element x y z (fractional)
Ti: 0.000 0.000 0.000
Tc: 0.500 0.500 0.500
N: 0.500 0.500 0.000
O: 0.000 0.500 0.500
O: 0.500 0.000 0.500

No. 6
This record from Alexandria via LeMat-Bulk describes crystalline YTcNO2 at its relaxed geometry. The functional is PBEsol.

Output
SG	No. 123
crystal system	tetragonal
final energy	-7.327	eV/atom
formation energy without anion corrections	0.095	eV/atom
Fermi-level density of states	3.81	states/eV/f.u.

Cell: 4.198 4.198 4.406 Å, 90.00 90.00 90.00°
Element x y z (fractional)
Y: 0.000 0.000 0.000
Tc: 0.500 0.500 0.500
N: 0.000 0.000 0.500
O: 0.000 0.500 0.000
O: 0.500 0.000 0.000

No. 7
This record from Alexandria via LeMat-Bulk describes crystalline TiTeN2O at its relaxed geometry. The functional is PBEsol.

Output
SG	No. 123
crystal system	tetragonal
final energy	-5.566	eV/atom
formation energy without anion corrections	1.264	eV/atom
Fermi-level density of states	3.12	states/eV/f.u.

Cell: 3.936 3.936 4.011 Å, 90.00 90.00 90.00°
Element x y z (fractional)
Ti: 0.000 0.000 0.000
Te: 0.500 0.500 0.000
N: 0.000 0.500 0.500
N: 0.500 0.000 0.500
O: 0.500 0.500 0.500

No. 8
This record from Alexandria via LeMat-Bulk describes crystalline TiTeN2O at its relaxed geometry. The functional is PBEsol.

Output
SG	No. 123
crystal system	tetragonal
final energy	-6.384	eV/atom
formation energy without anion corrections	0.446	eV/atom
Fermi-level density of states	4.65	states/eV/f.u.

Cell: 3.995 3.995 3.878 Å, 90.00 90.00 90.00°
Element x y z (fractional)
Ti: 0.000 0.000 0.000
Te: 0.500 0.500 0.500
N: 0.000 0.500 0.500
N: 0.500 0.000 0.500
O: 0.500 0.500 0.000

No. 9
This record from Alexandria via LeMat-Bulk describes crystalline ZnTe2NO at its relaxed geometry. The functional is PBEsol.

Output
SG	No. 123
crystal system	tetragonal
final energy	-3.471	eV/atom
formation energy without anion corrections	1.011	eV/atom
Fermi-level density of states	3.39	states/eV/f.u.

Cell: 4.923 4.923 3.887 Å, 90.00 90.00 90.00°
Element x y z (fractional)
Zn: 0.000 0.000 0.000
Te: 0.000 0.500 0.500
Te: 0.500 0.000 0.500
N: 0.500 0.500 0.000
O: 0.000 0.000 0.500

No. 10
This record from Alexandria via LeMat-Bulk describes crystalline TiN2O2 at its relaxed geometry. The functional is PBEsol.

Output
SG	No. 123
crystal system	tetragonal
final energy	-6.790	eV/atom
formation energy without anion corrections	0.385	eV/atom
Fermi-level density of states	2.13	states/eV/f.u.

Cell: 3.744 3.744 4.283 Å, 90.00 90.00 90.00°
Element x y z (fractional)
Ti: 0.000 0.000 0.000
N: 0.000 0.000 0.500
N: 0.500 0.500 0.500
O: 0.000 0.500 0.000
O: 0.500 0.000 0.000

No. 11
This record from Alexandria via LeMat-Bulk describes crystalline ZrTiN2O at its relaxed geometry. The functional is PBEsol.

Output
SG	No. 123
crystal system	tetragonal
final energy	-8.492	eV/atom
formation energy without anion corrections	-0.549	eV/atom
Fermi-level density of states	4.00	states/eV/f.u.

Cell: 4.122 4.122 3.957 Å, 90.00 90.00 90.00°
Element x y z (fractional)
Zr: 0.000 0.000 0.000
Ti: 0.500 0.500 0.500
N: 0.000 0.500 0.000
N: 0.500 0.000 0.000
O: 0.000 0.000 0.500

No. 12
This record from Alexandria via LeMat-Bulk describes crystalline TlZnNO2 at its relaxed geometry. The functional is PBEsol.

Output
SG	No. 123
crystal system	tetragonal
final energy	-4.271	eV/atom
formation energy without anion corrections	0.377	eV/atom
Fermi-level density of states	2.53	states/eV/f.u.

Cell: 3.976 3.976 3.817 Å, 90.00 90.00 90.00°
Element x y z (fractional)
Tl: 0.000 0.000 0.000
Zn: 0.500 0.500 0.500
N: 0.500 0.500 0.000
O: 0.000 0.500 0.500
O: 0.500 0.000 0.500